Density functional theory data (GGA+U) for crystalline Tl2SbW3O12 at its relaxed geometry.

Total magnetic moment in μB per formula unit: 1.0
Calculated volume in Å³ per atom: 15.8
Crystal system: trigonal
Electronic total energy in Ha/atom: -0.24648

Cell lengths 7.4161, 7.4161, 17.9313 Å; angles 90.00, 90.00, 120.00 degrees
Space group R-3m (No. 166, hexagonal axes)
Symmetry-distinct sites (fractional):
1 Tl 0.0000 0.0000 0.1298
2 Sb 0.0000 0.0000 0.5000
3 W 0.0000 0.5000 0.0000
4 O 0.0745 0.5372 0.1051
5 O 0.0848 0.5424 0.3533